Entry from Alexandria via LeMat-Bulk: a geometry-optimized Li4Zr3FeS8 structure (PBE).

Structure (extended XYZ):
```
16
Lattice="7.2330 0.0000 0.0000 0.0000 7.4728 0.1600 -3.6165 -3.6105 5.1189" Properties=species:S:1:pos:R:3 pbc="T T T"
S 0.0000 0.0558 2.5943
S -1.8407 1.9516 5.2319
S 1.7758 1.9108 0.0469
S 0.0000 3.7892 2.6266
S 5.4572 1.9108 0.0469
S 1.8407 1.9516 5.2319
S 3.6165 0.0731 2.6522
S 3.6165 3.8066 2.6846
Li 0.0000 0.0000 0.0000
Li 3.6165 0.0000 0.0000
Li 1.8083 -1.8052 2.5595
Li -1.8083 -1.8052 2.5595
Fe 0.0000 3.7364 0.0800
Zr 1.8083 1.9312 2.6394
Zr -1.8083 1.9312 2.6394
Zr 3.6165 3.7364 0.0800
```

Properties
- SG = R-3m, No. 166
- crystal system = trigonal
- formation energy from raw total energies (eV per atom) = -1.34
- VASP energy (eV/atom) = -6.010
- magnetization (μB per cell) = 3.51